Record 1
An optimized crystal structure of AcLuFe, computed with PBE-GGA.

The space group is F-43m (No. 216) and the conventional cell measures 6.8428, 6.8428 and 6.8428 Å, with angles of 90.00, 90.00 and 90.00 degrees. Symmetry generates all atoms from Ac at (0.0000, 0.0000, 0.0000), Lu at (0.0000, 0.0000, 0.5000) and Fe at (0.2500, 0.2500, 0.7500).

For the formation energy from the elements, the calculation gives 0.90 eV/f.u. The calculation puts the polymorph energy (0 for the lowest one) at 0 meV/atom.

---

Record 2
An optimized crystal structure of Y2Ta4Pb3N3, computed with PBE-GGA.

The space group is C2/c (No. 15) and the conventional cell measures 10.2344, 5.9733 and 14.3776 Å, with angles of 90.00, 103.53 and 90.00 degrees. Symmetry generates all atoms from Y at (0.0503, 0.0814, 0.4040), Ta at (0.1085, 0.4220, 0.5695), Ta at (0.2238, 0.4157, 0.9303), Pb at (0.0000, 0.4578, 0.2500), Pb at (0.1881, 0.1074, 0.7500), N at (0.0817, 0.2472, 0.9998) and N at (0.2500, 0.2500, 0.5000).

---

Record 3
An optimized crystal structure of RbDyCdSe3, computed with PBE-GGA.

The space group is C2/m (No. 12) and the conventional cell measures 18.0098, 4.2510 and 9.4039 Å, with angles of 90.00, 102.94 and 90.00 degrees. Symmetry generates all atoms from Rb at (0.1461, 0.0000, 0.0650), Dy at (0.1709, 0.0000, 0.5803), Cd at (0.0072, 0.5000, 0.7194), Se at (0.0000, 0.0000, 0.5000), Se at (0.0000, 0.5000, 0.0000), Se at (0.1633, 0.5000, 0.7777) and Se at (0.1665, 0.5000, 0.3698).

---

Record 4
An optimized crystal structure of Pr2Sm2C2ICl4, computed with PBE-GGA.

The space group is C2/m (No. 12) and the conventional cell measures 18.8274, 3.9572 and 8.6572 Å, with angles of 90.00, 104.31 and 90.00 degrees. Symmetry generates all atoms from Pr at (0.0001, 0.0000, 0.1932), Sm at (0.1596, 0.5000, 0.0944), C at (0.0384, 0.5000, 0.0216), I at (0.0000, 0.5000, 0.5000), Cl at (0.1633, 0.0000, 0.3214) and Cl at (0.1715, 0.0000, 0.8637).

---

Record 5
An optimized crystal structure of ReBi, computed with PBE-GGA.

The space group is F-43m (No. 216) and the conventional cell measures 6.2184, 6.2184 and 6.2184 Å, with angles of 90.00, 90.00 and 90.00 degrees. Symmetry generates all atoms from Re at (0.0000, 0.0000, 0.0000) and Bi at (0.2500, 0.2500, 0.2500).

The calculation puts the polymorph energy (0 for the lowest one) at 1387 meV/atom.

---

Record 6
An optimized crystal structure of CsAgPt, computed with PBE-GGA.

The space group is F-43m (No. 216) and the conventional cell measures 7.1654, 7.1654 and 7.1654 Å, with angles of 90.00, 90.00 and 90.00 degrees. Symmetry generates all atoms from Cs at (0.0000, 0.0000, 0.0000), Ag at (0.2500, 0.2500, 0.2500) and Pt at (0.0000, 0.0000, 0.5000).

The calculation puts the polymorph energy (0 for the lowest one) at 94 meV/atom.

---

Record 7
An optimized crystal structure of Ta4Mo2Au3N3, computed with PBE-GGA.

The space group is C2/c (No. 15) and the conventional cell measures 9.5278, 5.4924 and 13.7145 Å, with angles of 90.00, 103.47 and 90.00 degrees. Symmetry generates all atoms from Ta at (0.1118, 0.0997, 0.0861), Ta at (0.2292, 0.0730, 0.4134), Mo at (0.0488, 0.4232, 0.9218), Au at (0.0000, 0.0963, 0.7500), Au at (0.1609, 0.4247, 0.2563), N at (0.0909, 0.2314, 0.4995) and N at (0.2500, 0.2500, 0.0000).

---

Record 8
An optimized crystal structure of Y2SnAu, computed with PBE-GGA.

The space group is F-43m (No. 216) and the conventional cell measures 7.3834, 7.3834 and 7.3834 Å, with angles of 90.00, 90.00 and 90.00 degrees. Symmetry generates all atoms from Y at (0.0000, 0.0000, 0.0000), Y at (0.2500, 0.2500, 0.2500), Sn at (0.0000, 0.0000, 0.5000) and Au at (0.2500, 0.2500, 0.7500).

---

no.,final energy (eV/atom)
1,-5.347
2,-8.554
3,-4.087
4,-5.705
5,-6.259
6,-2.637
7,-9.058
8,-5.235